FeOsRh3 after structural relaxation, computed with GGA-PBE.

Calculated values
ΔE_f ... 1.548 eV per atom
Relative energy among the computed polymorphs ... 1529 meV/atom
M_tot ... 2.9 μB per cell

CIF file:
```
data_FeOsRh3
_chemical_formula_sum 'Fe1 Os1 Rh3'
_cell_length_a 4.356
_cell_length_b 4.356
_cell_length_c 4.356
_cell_angle_alpha 90.00
_cell_angle_beta 90.00
_cell_angle_gamma 90.00
_space_group_name_H-M_alt 'P m -3 m'
_space_group_IT_number 221
_space_group_name_Hall '-P 4 2 3'
loop_
_atom_site_label
_atom_site_type_symbol
_atom_site_fract_x
_atom_site_fract_y
_atom_site_fract_z
Fe1 Fe 0.000 0.000 0.000
Os1 Os 0.500 0.500 0.500
Rh1 Rh 0.000 0.000 0.500
```